Record 1
Here is a relaxed AlC2Cl crystal from Alexandria. Energies are from PBE-GGA.

Formation energy from raw total energies (eV/atom): 1.758
Spin magnetization (μB/f.u.): 0.00
Symmetry: I-42d (122)
Calculated volume (Å³ per atom): 14.69
ΔE to the lowest computed polymorph (meV per atom): 0

Lattice parameters (Å, degrees): 6.123 6.123 6.123 133.83 133.83 67.36
Fractional positions:
Al1 0.000 0.000 0.000
Al2 0.750 0.250 0.500
C1 0.074 0.625 0.949
C2 0.375 0.324 0.449
C3 0.676 0.125 0.051
C4 0.875 0.926 0.551
Cl1 0.250 0.750 0.500
Cl2 0.500 0.500 0.000

***

Record 2
Here is a relaxed Al3CCl crystal from Alexandria. Energies are from PBE-GGA.

Formation energy from raw total energies (eV/atom): 1.932
Spin magnetization (μB/f.u.): 0.00
Symmetry: Pm-3m (221)
Calculated volume (Å³ per atom): 23.42
ΔE to the lowest computed polymorph (meV per atom): 1380

Lattice parameters (Å, degrees): 4.893 4.893 4.893 90.00 90.00 90.00
Fractional positions:
Al1 0.000 0.000 0.500
Al2 0.000 0.500 0.000
Al3 0.500 0.000 0.000
C1 0.500 0.500 0.500
Cl1 0.000 0.000 0.000

***

Record 3
Here is a relaxed AlCCl2 crystal from Alexandria. Energies are from PBE-GGA.

Formation energy from raw total energies (eV/atom): 1.406
Spin magnetization (μB/f.u.): 1.27
Symmetry: Fm-3m (225)
Calculated volume (Å³ per atom): 16.61
ΔE to the lowest computed polymorph (meV per atom): 1110

Lattice parameters (Å, degrees): 4.546 4.546 4.546 60.00 60.00 60.00
Fractional positions:
Al1 0.000 0.000 0.000
C1 0.500 0.500 0.500
Cl1 0.250 0.250 0.250
Cl2 0.750 0.750 0.750

***

Record 4
Here is a relaxed Al3CCl crystal from Alexandria. Energies are from PBE-GGA.

Formation energy from raw total energies (eV/atom): 0.552
Spin magnetization (μB/f.u.): 0.00
Symmetry: Pm-3m (221)
Calculated volume (Å³ per atom): 16.76
ΔE to the lowest computed polymorph (meV per atom): 0

Lattice parameters (Å, degrees): 4.376 4.376 4.376 90.00 90.00 90.00
Fractional positions:
Al1 0.000 0.000 0.500
Al2 0.000 0.500 0.000
Al3 0.500 0.000 0.000
C1 0.000 0.000 0.000
Cl1 0.500 0.500 0.500

***

Record 5
Here is a relaxed AlC2Cl crystal from Alexandria. Energies are from PBE-GGA.

Formation energy from raw total energies (eV/atom): 2.528
Spin magnetization (μB/f.u.): 0.00
Symmetry: Fm-3m (225)
Calculated volume (Å³ per atom): 11.79
ΔE to the lowest computed polymorph (meV per atom): 770

Lattice parameters (Å, degrees): 4.055 4.055 4.055 60.00 60.00 60.00
Fractional positions:
Al1 0.000 0.000 0.000
C1 0.250 0.250 0.250
C2 0.750 0.750 0.750
Cl1 0.500 0.500 0.500

***

Record 6
Here is a relaxed AlCCl2 crystal from Alexandria. Energies are from PBE-GGA.

Formation energy from raw total energies (eV/atom): 0.296
Spin magnetization (μB/f.u.): 1.00
Symmetry: I-42d (122)
Calculated volume (Å³ per atom): 20.65
ΔE to the lowest computed polymorph (meV per atom): 0

Lattice parameters (Å, degrees): 6.785 6.785 6.785 94.77 94.77 146.48
Fractional positions:
Al1 0.000 0.000 0.000
Al2 0.750 0.250 0.500
C1 0.250 0.750 0.500
C2 0.500 0.500 0.000
Cl1 0.375 0.199 0.324
Cl2 0.801 0.125 0.176
Cl3 0.875 0.051 0.676
Cl4 0.949 0.625 0.824